(1)
# RbBSbF2

A geometry-optimized RbBSbF2 structure (PBE, Alexandria via LeMat-Bulk).

Values from the calculation:
Magnetic moment (μB per formula unit): 1.09
Crystal system: tetragonal
Electronic total energy (eV per cell): -13.7
Formation energy from raw total energies (eV per atom): 0.370
Fermi-level density of states (states/eV/f.u.): 7.369

Cell lengths 4.562, 4.562, 7.497 Å; angles 90.00, 90.00, 90.00 degrees
Space group P4/mmm (No. 123)
One atom of each set of equivalent atoms:
Rb: 0.000 0.000 0.000 [1 per cell]
B: 0.500 0.500 0.500 [1 per cell]
Sb: 0.000 0.000 0.500 [1 per cell]
F: 0.000 0.500 0.000 [2 per cell]

(2)
# Rb2ScBF6

A geometry-optimized Rb2ScBF6 structure (PBE, Alexandria via LeMat-Bulk).

Values from the calculation:
Magnetic moment (μB per formula unit): 0.00
Crystal system: tetragonal
Electronic total energy (eV per cell): -103.7
Formation energy from raw total energies (eV per atom): -2.568
Fermi-level density of states (states/eV/f.u.): 0.000

Cell lengths 6.167, 6.167, 8.738 Å; angles 90.00, 90.00, 90.00 degrees
Space group I4/mmm (No. 139)
One atom of each set of equivalent atoms:
Rb: 0.000 0.500 0.250 [4 per cell]
Sc: 0.000 0.000 0.000 [2 per cell]
B: 0.000 0.000 0.500 [2 per cell]
F: 0.000 0.000 0.233 [4 per cell]
F: 0.234 0.234 0.000 [8 per cell]

Q: Which formula does entry 1 have?
A: RbBSbF2

Q: What is the Fermi-level density of states in the first record?
A: 7.369 states/eV/f.u.

Q: formation energy from raw total energies of number 2 (Rb2ScBF6)?
A: -2.568 eV per atom